! PBE LiSc2Br, relaxed; values from VASP
&SYSTEM
  ibrav = 0, nat = 4, ntyp = 3
/
ATOMIC_SPECIES
Li 6.94 Li.upf
Sc 44.96 Sc.upf
Br 79.90 Br.upf
ATOMIC_POSITIONS crystal
Li 0.000 0.000 0.000
Sc 0.247 0.247 0.247
Sc 0.753 0.753 0.753
Br 0.500 0.500 0.500
CELL_PARAMETERS angstrom
1.707 0.986 8.991
-1.707 0.986 8.991
0.000 -1.971 8.991
! Formation energy without anion corrections: -0.261 eV/atom
! Total magnetization: 1.0 μB per cell
! Calculated total energy: -17.3 eV/cell



! PBE PuMg2Pb, relaxed; values from VASP
&SYSTEM
  ibrav = 0, nat = 4, ntyp = 3
/
ATOMIC_SPECIES
Pu 244.00 Pu.upf
Mg 24.30 Mg.upf
Pb 207.20 Pb.upf
ATOMIC_POSITIONS crystal
Pu 0.000 0.000 0.000
Mg 0.250 0.250 0.250
Mg 0.750 0.750 0.750
Pb 0.500 0.500 0.500
CELL_PARAMETERS angstrom
0.000 3.715 3.715
3.715 0.000 3.715
3.715 3.715 0.000
! Total magnetization: 6.4 μB per cell
! Energy relative to the elements: 100 meV/atom
! Calculated total energy: -20.8 eV/cell



! PBE Pm5Pr4Er, relaxed; values from VASP
&SYSTEM
  ibrav = 0, nat = 20, ntyp = 3
/
ATOMIC_SPECIES
Pm 145.00 Pm.upf
Pr 140.91 Pr.upf
Er 167.26 Er.upf
ATOMIC_POSITIONS crystal
Pm 0.089 0.089 0.163
Pm 0.089 0.411 0.163
Pm 0.250 0.750 0.000
Pm 0.411 0.089 0.163
Pm 0.411 0.411 0.163
Pm 0.589 0.589 0.837
Pm 0.589 0.911 0.837
Pm 0.750 0.250 0.000
Pm 0.911 0.589 0.837
Pm 0.911 0.911 0.837
Pr 0.044 0.750 0.368
Pr 0.250 0.544 0.632
Pr 0.250 0.956 0.632
Pr 0.456 0.750 0.368
Pr 0.544 0.250 0.632
Pr 0.750 0.044 0.368
Pr 0.750 0.456 0.368
Pr 0.956 0.250 0.632
Er 0.250 0.250 0.639
Er 0.750 0.750 0.361
CELL_PARAMETERS angstrom
10.892 0.000 0.000
0.000 10.892 0.000
0.000 0.000 5.851
! Total magnetization: 0.0 μB per cell
! Energy relative to the elements: 174 meV/atom
! Calculated total energy: -91.4 eV/cell



Question: Number 2 is which compound?
Answer: PuMg2Pb